First-principles (GGA-PBE) data for crystalline SiWCl at its relaxed geometry, as listed in Alexandria.

The structure in CIF format:
```
data_SiWCl
_cell_length_a 2.9394
_cell_length_b 2.9394
_cell_length_c 7.6385
_cell_angle_alpha 90.00
_cell_angle_beta 90.00
_cell_angle_gamma 120.00
_space_group_name_H-M_alt 'P 3 m 1'
_space_group_IT_number 156
loop_
_space_group_symop_operation_xyz
'x,y,z'
'-y,x-y,z'
'-x+y,-x,z'
'-y,-x,z'
'-x+y,y,z'
'x,x-y,z'
loop_
_atom_site_label
_atom_site_type_symbol
_atom_site_fract_x
_atom_site_fract_y
_atom_site_fract_z
_atom_site_occupancy
Si1 Si 0.0000 0.0000 0.0000 1
W1 W 0.6667 0.3333 0.2833 1
Cl1 Cl 0.3333 0.6667 0.5198 1
```

Values from the calculation:
Formation energy (no corrections) (eV per atom): 0.27
Uncorrected energy (eV/atom): -6.470